Record 1
This record from the Alexandria database describes a geometry-optimized AcZrS2O structure. The functional is PBE.

Output
Formation energy without anion corrections in meV/atom: -2197
Symmetry: P4/nmm

Lattice parameters (Å, degrees): 3.9306 3.9306 13.7279 90.00 90.00 90.00
Closest atoms and distances in Å follow each position.
Fractional coordinates of all 10 atoms:
Zr  0.0000  0.5000  0.9010  2 S 2.43-2.69
Zr  0.5000  0.0000  0.0990  2 S 2.43-2.69
Ac  0.5000  0.0000  0.6026  4 O 2.42
Ac  0.0000  0.5000  0.3974  4 O 2.42
S  0.0000  0.5000  0.0970  5 Zr 2.69-2.78
S  0.5000  0.0000  0.9030  5 Zr 2.69-2.78
S  0.0000  0.5000  0.7239  1 Zr 2.43
S  0.5000  0.0000  0.2761  1 Zr 2.43
O  0.0000  0.0000  0.5000  4 Ac 2.42
O  0.5000  0.5000  0.5000  4 Ac 2.42

---

Record 2
This record from the Alexandria database describes a geometry-optimized AcSb4O12 structure. The functional is PBE.

Output
Formation energy without anion corrections in meV/atom: -1490
Symmetry: Im-3

Lattice parameters (Å, degrees): 6.8143 6.8143 6.8143 109.47 109.47 109.47
Closest atoms and distances in Å follow each position.
Fractional coordinates of all 17 atoms:
Sb  0.0000  0.0000  0.5000  6 O 2.01
Sb  0.5000  0.0000  0.0000  6 O 2.01
Sb  0.0000  0.5000  0.0000  6 O 2.01
Sb  0.5000  0.5000  0.5000  6 O 2.01
O  0.7967  0.7274  0.5241  2 Sb 2.01
O  0.2726  0.0694  0.7967  2 Sb 2.01
O  0.5241  0.7967  0.7274  2 Sb 2.01
O  0.7274  0.9306  0.2033  2 Sb 2.01
O  0.0694  0.7967  0.2726  2 Sb 2.01
O  0.7967  0.2726  0.0694  2 Sb 2.01
O  0.2033  0.7274  0.9306  2 Sb 2.01
O  0.2033  0.2726  0.4759  2 Sb 2.01
O  0.9306  0.2033  0.7274  2 Sb 2.01
O  0.2726  0.4759  0.2033  2 Sb 2.01
O  0.4759  0.2033  0.2726  2 Sb 2.01
O  0.7274  0.5241  0.7967  2 Sb 2.01
Ac  0.0000  0.0000  0.0000  12 O 2.68

---

Record 3
This record from the Alexandria database describes a geometry-optimized AcSbO3 structure. The functional is PBE.

Output
Formation energy without anion corrections in meV/atom: -2373
Symmetry: Pbcm

Lattice parameters (Å, degrees): 4.3022 5.7918 13.5821 90.00 90.00 90.00
Closest atoms and distances in Å follow each position.
Fractional coordinates of all 20 atoms:
O  0.9008  0.5000  0.7500  2 Sb 2.20
O  0.7533  0.4856  0.0785  1 Sb 2.06
O  0.7533  0.0144  0.0785  1 Sb 2.06
O  0.2467  0.0144  0.5785  1 Sb 2.06
O  0.0991  0.0000  0.2500  2 Sb 2.20
O  0.2467  0.4856  0.5785  1 Sb 2.06
O  0.2467  0.9856  0.9215  1 Sb 2.06
O  0.2467  0.5144  0.9215  1 Sb 2.06
O  0.7533  0.5144  0.4215  1 Sb 2.06
O  0.0992  0.5000  0.2500  2 Sb 2.20
O  0.7533  0.9856  0.4215  1 Sb 2.06
O  0.9009  0.0000  0.7500  2 Sb 2.20
Sb  0.2397  0.2500  0.6919  4 O 2.06-2.20
Sb  0.2397  0.7500  0.8081  4 O 2.06-2.20
Sb  0.7603  0.2500  0.1919  4 O 2.06-2.20
Sb  0.7603  0.7500  0.3081  4 O 2.06-2.20
Ac  0.7529  0.2500  0.9163  8 O 2.59-2.76
Ac  0.7529  0.7500  0.5837  8 O 2.59-2.76
Ac  0.2471  0.2500  0.4163  8 O 2.59-2.76
Ac  0.2471  0.7500  0.0837  8 O 2.59-2.76